A relaxed structure of Er3P6Pd20, computed with PBE.

Cell lengths 8.6621, 8.6621, 8.6621 Å; angles 120.00, 90.00, 120.00 degrees
Last column: nearest neighbours and their distance in Å.
Fractional coordinates of all 29 atoms:
Pd  0.3838  0.7677  0.1515  3 P 2.49
Pd  0.8485  0.2323  0.6162  3 P 2.49
Pd  0.6162  0.2323  0.8485  3 P 2.49
Pd  0.6553  0.0000  0.0000  2 P 2.39
Pd  0.0000  0.0000  0.6553  2 P 2.39
Pd  0.3838  0.7677  0.6162  3 P 2.49
Pd  0.6553  0.6553  0.6553  2 P 2.39
Pd  0.6553  0.6553  0.0000  2 P 2.39
Pd  0.6162  0.7677  0.3838  3 P 2.49
Pd  0.0000  0.3447  0.3447  2 P 2.39
Pd  0.3838  0.2323  0.6162  3 P 2.49
Pd  0.0000  0.6553  0.0000  2 P 2.39
Pd  0.1515  0.7677  0.3838  3 P 2.49
Pd  0.3447  0.3447  0.0000  2 P 2.39
Pd  0.0000  0.3447  0.0000  2 P 2.39
Pd  0.0000  0.6553  0.6553  2 P 2.39
Pd  0.6162  0.2323  0.3838  3 P 2.49
Pd  0.3447  0.3447  0.3447  2 P 2.39
Pd  0.3447  0.0000  0.0000  2 P 2.39
Pd  0.0000  0.0000  0.3447  2 P 2.39
P  0.7364  0.0000  0.7364  8 Pd 2.39-2.49
P  0.2636  0.0000  0.7364  8 Pd 2.39-2.49
P  0.2636  0.5272  0.2636  8 Pd 2.39-2.49
P  0.2636  0.0000  0.2636  8 Pd 2.39-2.49
P  0.7364  0.0000  0.2636  8 Pd 2.39-2.49
P  0.7364  0.4728  0.7364  8 Pd 2.39-2.49
Er  0.2500  0.5000  0.7500  4 Pd 2.84
Er  0.0000  0.0000  0.0000  12 Pd 2.99, 6 P 3.23
Er  0.7500  0.5000  0.2500  4 Pd 2.84

Output
- Density: 10.17 g/cm³
- Symmetry: No. 225
- DFT total energy: -5.903 eV per atom
- Size of the total moment: 0.00 μB per cell